1.
KMgCoCl6, optimized geometry, DFT PBE-GGA; space group = P312 (149); final energy = -0.26605 Ry/atom
1.0
6.260 0.000 0.000
-3.130 5.421 0.000
0.000 0.000 7.026
K Mg Co Cl
1 1 1 6
direct
0.000 0.000 0.000 K
0.333 0.667 0.500 Mg
0.667 0.333 0.500 Co
0.383 0.028 0.689 Cl
0.383 0.355 0.311 Cl
0.645 0.028 0.311 Cl
0.645 0.617 0.689 Cl
0.972 0.355 0.689 Cl
0.972 0.617 0.311 Cl

=====

2.
KMg2CoCl8, optimized geometry, DFT PBE-GGA; space group = C2/m (12); final energy = -0.25837 Ry/atom
1.0
4.907 -3.710 0.000
4.907 3.710 0.000
-2.323 0.000 8.089
K Mg Co Cl
1 2 1 8
direct
0.000 0.000 0.000 K
0.433 0.433 0.761 Mg
0.567 0.567 0.239 Mg
0.000 0.000 0.500 Co
0.174 0.739 0.300 Cl
0.233 0.233 0.509 Cl
0.261 0.826 0.700 Cl
0.334 0.334 0.992 Cl
0.666 0.666 0.008 Cl
0.739 0.174 0.300 Cl
0.767 0.767 0.491 Cl
0.826 0.261 0.700 Cl

=====

3.
K2MgCoCl6, optimized geometry, DFT PBE-GGA; space group = Fm-3m (225); final energy = -0.26874 Ry/atom; N(E_F) = 10.46 states/eV/f.u.
1.0
0.000 4.956 4.956
4.956 0.000 4.956
4.956 4.956 0.000
K Mg Co Cl
2 1 1 6
direct
0.250 0.250 0.250 K
0.750 0.750 0.750 K
0.000 0.000 0.000 Mg
0.500 0.500 0.500 Co
0.253 0.253 0.747 Cl
0.253 0.747 0.253 Cl
0.253 0.747 0.747 Cl
0.747 0.253 0.253 Cl
0.747 0.253 0.747 Cl
0.747 0.747 0.253 Cl

=====

4.
KMn2CoCl8, optimized geometry, DFT PBE-GGA; space group = P-1 (2); final energy = -0.32615 Ry/atom; N(E_F) = 4.56 states/eV/f.u.
1.0
6.255 0.000 0.000
1.492 6.083 0.000
2.107 1.588 8.267
K Mn Co Cl
1 2 1 8
direct
0.000 0.000 0.000 K
0.454 0.456 0.226 Mn
0.546 0.544 0.774 Mn
0.000 0.000 0.500 Co
0.203 0.761 0.710 Cl
0.241 0.256 0.450 Cl
0.251 0.806 0.286 Cl
0.329 0.344 0.013 Cl
0.671 0.656 0.987 Cl
0.749 0.194 0.714 Cl
0.759 0.744 0.550 Cl
0.797 0.239 0.290 Cl

=====

5.
KMnCo2Cl8, optimized geometry, DFT PBE-GGA; space group = R-3 (148); final energy = -0.30901 Ry/atom; N(E_F) = 9.76 states/eV/f.u.
1.0
3.128 1.806 9.365
-3.128 1.806 9.365
0.000 -3.612 9.365
K Mn Co Cl
1 1 2 8
direct
0.000 0.000 0.000 K
0.500 0.500 0.500 Mn
0.242 0.242 0.242 Co
0.758 0.758 0.758 Co
0.129 0.766 0.450 Cl
0.234 0.550 0.871 Cl
0.320 0.320 0.320 Cl
0.450 0.129 0.766 Cl
0.550 0.871 0.234 Cl
0.680 0.680 0.680 Cl
0.766 0.450 0.129 Cl
0.871 0.234 0.550 Cl

=====

6.
KCoMoCl6, optimized geometry, DFT PBE-GGA; space group = C2 (5); final energy = -0.31893 Ry/atom; N(E_F) = 6.53 states/eV/f.u.
1.0
3.197 -5.550 0.000
3.197 5.550 0.000
-0.020 0.000 7.059
K Co Mo Cl
1 1 1 6
direct
0.000 0.000 0.000 K
0.333 0.667 0.500 Co
0.666 0.334 0.500 Mo
0.000 0.633 0.304 Cl
0.367 0.000 0.696 Cl
0.373 0.373 0.300 Cl
0.627 0.627 0.700 Cl
0.633 0.001 0.303 Cl
0.999 0.367 0.697 Cl

=====

7.
KNa2CoCl6, optimized geometry, DFT PBE-GGA; space group = R3 (146); final energy = -0.25580 Ry/atom
1.0
3.460 1.998 6.152
-3.460 1.998 6.152
0.000 -3.996 6.152
K Na Co Cl
1 2 1 6
direct
0.000 0.000 0.000 K
0.285 0.285 0.285 Na
0.803 0.803 0.803 Na
0.483 0.483 0.483 Co
0.140 0.665 0.424 Cl
0.276 0.562 0.824 Cl
0.424 0.140 0.665 Cl
0.562 0.824 0.276 Cl
0.665 0.424 0.140 Cl
0.824 0.276 0.562 Cl

=====

8.
KNaCoCl4, optimized geometry, DFT PBE-GGA; space group = P2_1/m (11); final energy = -0.27454 Ry/atom
1.0
6.818 0.000 0.000
0.000 7.088 0.000
-2.500 0.000 8.057
K Na Co Cl
2 2 2 8
direct
0.246 0.250 0.439 K
0.754 0.750 0.561 K
0.282 0.250 0.949 Na
0.718 0.750 0.051 Na
0.263 0.750 0.178 Co
0.737 0.250 0.822 Co
0.053 0.750 0.918 Cl
0.068 0.750 0.352 Cl
0.487 0.505 0.227 Cl
0.487 0.995 0.227 Cl
0.513 0.005 0.773 Cl
0.513 0.495 0.773 Cl
0.932 0.250 0.648 Cl
0.947 0.250 0.082 Cl

=====

9.
KCoNiCl5, optimized geometry, DFT PBE-GGA; space group = C2/c (15); final energy = -0.27848 Ry/atom; N(E_F) = 3.63 states/eV/f.u.
1.0
4.270 -5.635 0.000
4.270 5.635 0.000
-3.324 0.000 8.178
K Co Ni Cl
2 2 2 10
direct
0.155 0.845 0.750 K
0.845 0.155 0.250 K
0.190 0.810 0.250 Co
0.810 0.190 0.750 Co
0.500 0.500 0.000 Ni
0.500 0.500 0.500 Ni
0.117 0.270 0.938 Cl
0.195 0.584 0.393 Cl
0.270 0.117 0.438 Cl
0.416 0.805 0.107 Cl
0.429 0.571 0.750 Cl
0.571 0.429 0.250 Cl
0.584 0.195 0.893 Cl
0.730 0.883 0.562 Cl
0.805 0.416 0.607 Cl
0.883 0.730 0.062 Cl

=====

10.
KCoNi2Cl8, optimized geometry, DFT PBE-GGA; space group = R-3 (148); final energy = -0.26332 Ry/atom; N(E_F) = 9.31 states/eV/f.u.
1.0
3.043 1.757 9.285
-3.043 1.757 9.285
0.000 -3.514 9.285
K Co Ni Cl
1 1 2 8
direct
0.000 0.000 0.000 K
0.500 0.500 0.500 Co
0.235 0.235 0.235 Ni
0.765 0.765 0.765 Ni
0.150 0.446 0.759 Cl
0.241 0.850 0.554 Cl
0.314 0.314 0.314 Cl
0.446 0.759 0.150 Cl
0.554 0.241 0.850 Cl
0.686 0.686 0.686 Cl
0.759 0.150 0.446 Cl
0.850 0.554 0.241 Cl

=====

11.
KCoNiCl6, optimized geometry, DFT PBE-GGA; space group = P312 (149); final energy = -0.26907 Ry/atom
1.0
6.100 0.000 0.000
-3.050 5.282 0.000
0.000 0.000 7.056
K Co Ni Cl
1 1 1 6
direct
0.000 0.000 0.000 K
0.667 0.333 0.500 Co
0.333 0.667 0.500 Ni
0.376 0.016 0.684 Cl
0.376 0.361 0.316 Cl
0.639 0.016 0.316 Cl
0.639 0.624 0.684 Cl
0.984 0.361 0.684 Cl
0.984 0.624 0.316 Cl

=====

12.
KNpCo2Cl8, optimized geometry, DFT PBE-GGA; space group = R-3 (148); final energy = -0.34921 Ry/atom; N(E_F) = 7.35 states/eV/f.u.
1.0
3.218 1.858 9.775
-3.218 1.858 9.775
0.000 -3.716 9.775
K Np Co Cl
1 1 2 8
direct
0.000 0.000 0.000 K
0.500 0.500 0.500 Np
0.249 0.249 0.249 Co
0.751 0.751 0.751 Co
0.109 0.444 0.780 Cl
0.220 0.891 0.556 Cl
0.324 0.324 0.324 Cl
0.444 0.780 0.109 Cl
0.556 0.220 0.891 Cl
0.676 0.676 0.676 Cl
0.780 0.109 0.444 Cl
0.891 0.556 0.220 Cl

=====

13.
KCoPCl2, optimized geometry, DFT PBE-GGA; ΔE to the lowest computed polymorph = 0.000 eV per atom; space group = P4/mmm (123); final energy = -0.29329 Ry/atom; N(E_F) = 1.87 states/eV/f.u.
1.0
5.121 0.000 0.000
0.000 5.121 0.000
0.000 0.000 4.191
K Co P Cl
1 1 1 2
direct
0.000 0.000 0.000 K
0.500 0.500 0.500 Co
0.500 0.500 0.000 P
0.000 0.500 0.500 Cl
0.500 0.000 0.500 Cl

=====

14.
KCoP2Cl, optimized geometry, DFT PBE-GGA; ΔE to the lowest computed polymorph = 0.000 eV per atom; space group = P4/mmm (123); final energy = -0.33208 Ry/atom; N(E_F) = 2.31 states/eV/f.u.
1.0
4.173 0.000 0.000
0.000 4.173 0.000
0.000 0.000 8.638
K Co P Cl
1 1 2 1
direct
0.000 0.000 0.000 K
0.500 0.500 0.500 Co
0.000 0.500 0.500 P
0.500 0.000 0.500 P
0.500 0.500 0.000 Cl

=====

15.
KCoPCl2, optimized geometry, DFT PBE-GGA; ΔE to the lowest computed polymorph = 1.623 eV per atom; space group = P4/mmm (123); final energy = -0.17400 Ry/atom; N(E_F) = 19.43 states/eV/f.u.
1.0
5.470 0.000 0.000
0.000 5.470 0.000
0.000 0.000 5.648
K Co P Cl
1 1 1 2
direct
0.000 0.000 0.000 K
0.500 0.500 0.500 Co
0.000 0.000 0.500 P
0.000 0.500 0.000 Cl
0.500 0.000 0.000 Cl

=====

16.
KCoP2Cl, optimized geometry, DFT PBE-GGA; ΔE to the lowest computed polymorph = 2.157 eV per atom; space group = P4/mmm (123); final energy = -0.17355 Ry/atom; N(E_F) = 8.75 states/eV/f.u.
1.0
5.453 0.000 0.000
0.000 5.453 0.000
0.000 0.000 5.382
K Co P Cl
1 1 2 1
direct
0.000 0.000 0.000 K
0.500 0.500 0.500 Co
0.000 0.500 0.000 P
0.500 0.000 0.000 P
0.000 0.000 0.500 Cl

=====

17.
KCo2PbCl8, optimized geometry, DFT PBE-GGA; space group = R-3 (148); final energy = -0.27585 Ry/atom; N(E_F) = 12.70 states/eV/f.u.
1.0
3.287 1.898 9.471
-3.287 1.898 9.471
0.000 -3.795 9.471
K Co Pb Cl
1 2 1 8
direct
0.000 0.000 0.000 K
0.253 0.253 0.253 Co
0.747 0.747 0.747 Co
0.500 0.500 0.500 Pb
0.080 0.798 0.440 Cl
0.202 0.560 0.920 Cl
0.329 0.329 0.329 Cl
0.440 0.080 0.798 Cl
0.560 0.920 0.202 Cl
0.671 0.671 0.671 Cl
0.798 0.440 0.080 Cl
0.920 0.202 0.560 Cl

=====

18.
KCoPdCl6, optimized geometry, DFT PBE-GGA; space group = P1 (1); final energy = -0.25838 Ry/atom; N(E_F) = 2.43 states/eV/f.u.
1.0
6.319 0.000 0.000
-2.821 5.664 0.000
-0.221 -0.333 6.947
K Co Pd Cl
1 1 1 6
direct
0.000 0.000 0.000 K
0.328 0.678 0.500 Co
0.672 0.330 0.500 Pd
0.003 0.360 0.689 Cl
0.032 0.630 0.288 Cl
0.370 0.970 0.712 Cl
0.384 0.369 0.304 Cl
0.631 0.617 0.695 Cl
0.643 0.999 0.313 Cl

=====

19.
KPmCoCl6, optimized geometry, DFT PBE-GGA; space group = P-31c (163); final energy = -0.31492 Ry/atom; N(E_F) = 11.29 states/eV/f.u.
1.0
6.770 0.000 0.000
-3.385 5.863 0.000
0.000 0.000 13.865
K Pm Co Cl
2 2 2 12
direct
0.000 0.000 0.000 K
0.000 0.000 0.500 K
0.333 0.667 0.250 Pm
0.667 0.333 0.750 Pm
0.333 0.667 0.750 Co
0.667 0.333 0.250 Co
0.030 0.384 0.645 Cl
0.030 0.646 0.855 Cl
0.354 0.384 0.855 Cl
0.354 0.970 0.645 Cl
0.384 0.030 0.145 Cl
0.384 0.354 0.355 Cl
0.616 0.646 0.645 Cl
0.616 0.970 0.855 Cl
0.646 0.030 0.355 Cl
0.646 0.616 0.145 Cl
0.970 0.354 0.145 Cl
0.970 0.616 0.355 Cl

=====

20.
K2RbCoCl6, optimized geometry, DFT PBE-GGA; space group = P2_1/c (14); final energy = -0.25818 Ry/atom
1.0
7.320 0.000 0.000
0.000 7.609 0.000
-7.122 0.000 10.448
K Rb Co Cl
4 2 2 12
direct
0.223 0.070 0.246 K
0.223 0.430 0.746 K
0.777 0.570 0.254 K
0.777 0.930 0.754 K
0.500 0.000 0.000 Rb
0.500 0.500 0.500 Rb
0.000 0.000 0.500 Co
0.000 0.500 0.000 Co
0.084 0.249 0.936 Cl
0.084 0.251 0.436 Cl
0.198 0.662 0.947 Cl
0.198 0.838 0.447 Cl
0.311 0.038 0.701 Cl
0.311 0.462 0.201 Cl
0.689 0.538 0.799 Cl
0.689 0.962 0.299 Cl
0.802 0.162 0.553 Cl
0.802 0.338 0.053 Cl
0.916 0.749 0.564 Cl
0.916 0.751 0.064 Cl

=====

21.
KRbCoCl4, optimized geometry, DFT PBE-GGA; space group = P2_1/m (11); final energy = -0.27683 Ry/atom
1.0
7.146 0.000 0.000
0.000 7.216 0.000
-2.879 0.000 8.613
K Rb Co Cl
2 2 2 8
direct
0.215 0.250 0.048 K
0.785 0.750 0.952 K
0.283 0.250 0.573 Rb
0.717 0.750 0.427 Rb
0.222 0.750 0.803 Co
0.778 0.250 0.197 Co
0.012 0.506 0.749 Cl
0.012 0.994 0.749 Cl
0.396 0.750 0.058 Cl
0.415 0.750 0.648 Cl
0.585 0.250 0.352 Cl
0.604 0.250 0.942 Cl
0.988 0.006 0.251 Cl
0.988 0.494 0.251 Cl